w:
A plane-wave DFT calculation with PBE was carried out for a relaxed structure of CaTlAuSeNF.

Geometry as POSCAR:
```
CaTlAuSeNF
1.0
-0.692 -0.913 3.952
-1.098 -3.655 -1.037
15.088 -4.957 1.498
Ca Tl Au Se N F
2 2 2 2 2 2
Direct
0.000 0.000 0.899
0.500 0.500 0.399
0.000 0.500 0.668
0.500 0.000 0.168
0.000 0.000 0.498
0.500 0.500 0.998
0.000 0.500 0.208
0.500 0.000 0.708
0.000 0.500 0.496
0.500 0.000 0.996
0.000 0.500 0.843
0.500 0.000 0.343
```

Space-group type: Imm2 (44)

=====

x:
A plane-wave DFT calculation with PBE was carried out for a relaxed structure of CaTlAuSeNF.

Geometry as POSCAR:
```
CaTlAuSeNF
1.0
3.552 -0.004 -0.010
1.746 5.976 -0.035
0.287 2.385 7.311
Ca Tl Au Se N F
1 1 1 1 1 1
Direct
0.602 0.190 0.024
0.639 0.028 0.572
0.908 0.527 0.281
0.266 0.815 0.296
0.510 0.315 0.279
0.071 0.280 0.855
```

Space-group type: P1 (1)

=====

y:
A plane-wave DFT calculation with PBE was carried out for a relaxed structure of CaTlAuSeNF.

Geometry as POSCAR:
```
CaTlAuSeNF
1.0
-0.879 1.866 -3.268
1.462 -4.900 -2.572
-6.571 -0.044 1.906
Ca Tl Au Se N F
1 1 1 1 1 1
Direct
0.536 0.889 0.193
0.063 0.601 0.564
0.702 0.082 0.699
0.960 0.502 0.918
0.564 0.728 0.468
0.066 0.101 0.261
```

Space-group type: P1 (1)

=====

z:
A plane-wave DFT calculation with PBE was carried out for a relaxed structure of CaTlAuSeNF.

Geometry as POSCAR:
```
CaTlAuSeNF
1.0
-2.118 3.451 -2.787
0.234 -2.436 -3.193
-5.944 -3.580 2.296
Ca Tl Au Se N F
1 1 1 1 1 1
Direct
0.001 0.000 0.026
0.459 0.500 0.568
0.491 0.500 0.152
0.839 0.000 0.409
0.584 0.000 0.161
0.923 0.500 0.884
```

Space-group type: Pm (6)

=====

Most stable one: y, least stable one: x.